DFT (PBE-GGA) results for a geometry-optimized SrAg2F4 structure.

```
7
Lattice="3.878 -0.023 -0.003 -1.904 5.349 -1.641 0.003 -0.046 6.659" Properties=species:S:1:pos:R:3 pbc="T T T"
Sr 0.000 0.000 0.000
Ag 1.954 1.398 3.374
Ag 0.024 3.882 1.641
F 1.964 3.832 3.049
F 0.014 1.448 1.966
F 1.947 0.995 5.604
F 0.030 4.285 -0.588
```

Results
Relative energy among the computed polymorphs, meV per atom: 0
Formation energy without anion corrections, eV per atom: -2.179
DFT total energy, eV per atom: -4.30